# BaGdSn2Pd4 | OQMD | PBE | relaxed
# M_tot   0.02 Bohr magnetons per cell
# Electronic total energy   -5.1731 eV/atom
data_BaGdSn2Pd4
_cell_length_a 4.6448
_cell_length_b 4.6448
_cell_length_c 9.9994
_cell_angle_alpha 90.00
_cell_angle_beta 90.00
_cell_angle_gamma 120.00
_symmetry_space_group_name_H-M 'P -6 m 2'
_symmetry_Int_Tables_number 187
_symmetry_space_group_name_Hall 'P -6 2'
loop_
_atom_site_label
_atom_site_fract_x
_atom_site_fract_y
_atom_site_fract_z
_atom_site_occupancy
Ba1 0.0000 0.0000 0.0000 1
Gd1 0.3333 0.6667 0.5000 1
Sn1 0.6667 0.3333 0.2753 1
Pd1 0.0000 0.0000 0.3462 1
Pd2 0.3333 0.6667 0.2132 1

---

# BaUPa | OQMD | PBE | relaxed
# Energy relative to the lowest polymorph listed for this composition   0 meV per atom
# M_tot   20.87 Bohr magnetons per cell
data_BaUPa
_cell_length_a 7.353
_cell_length_b 7.353
_cell_length_c 7.353
_cell_angle_alpha 90.00
_cell_angle_beta 90.00
_cell_angle_gamma 90.00
_symmetry_space_group_name_H-M 'F -4 3 m'
_symmetry_Int_Tables_number 216
_symmetry_space_group_name_Hall 'F -4 2 3'
loop_
_atom_site_label
_atom_site_fract_x
_atom_site_fract_y
_atom_site_fract_z
_atom_site_occupancy
Ba1 0.000 0.000 0.000 1
U1 0.250 0.250 0.750 1
Pa1 0.000 0.000 0.500 1